1.
Entry from Alexandria: ZnRe2P after structural relaxation (PBE-GGA).

Summary:
- space group = Pmmm (47)
- total moment (μB per atom) = 0.000
- ΔH_f (0 K) (eV/atom) = 0.482

a b c (Å): 2.9608 4.1463 4.6938
angles (deg): 90.00 90.00 90.00
Sites, in units of the cell vectors:
Zn 0.0000 0.0000 0.0000
Re 0.0000 0.5000 0.5000
Re 0.5000 0.5000 0.0000
P 0.5000 0.0000 0.5000



2.
Entry from Alexandria: ZnRe2P after structural relaxation (PBE-GGA).

Summary:
- space group = Cmm2 (35)
- total moment (μB per atom) = 0.000
- ΔH_f (0 K) (eV/atom) = 0.374

a b c (Å): 2.7553 2.7553 8.7656
angles (deg): 90.00 90.00 114.89
Sites, in units of the cell vectors:
Zn 0.0000 0.0000 0.0000
Re 0.0000 0.0000 0.4949
Re 0.5000 0.5000 0.7455
P 0.5000 0.5000 0.2713



3.
Entry from Alexandria: ZnRe2P after structural relaxation (PBE-GGA).

Summary:
- space group = Imm2 (44)
- total moment (μB per atom) = 0.000
- ΔH_f (0 K) (eV/atom) = 0.158

a b c (Å): 5.5154 5.5154 5.5154
angles (deg): 148.92 138.46 52.78
Sites, in units of the cell vectors:
Zn 0.0000 0.0000 0.0000
Re 0.3156 0.8156 0.5000
Re 0.5701 0.5701 0.0000
P 0.7591 0.2591 0.5000



4.
Entry from Alexandria: ZnRe2P after structural relaxation (PBE-GGA).

Summary:
- space group = R-3m (166)
- total moment (μB per atom) = 0.002
- ΔH_f (0 K) (eV/atom) = 0.128

a b c (Å): 8.2792 8.2792 8.2792
angles (deg): 19.80 19.80 19.80
Sites, in units of the cell vectors:
Zn 0.0000 0.0000 0.0000
Re 0.2416 0.2416 0.2416
Re 0.7584 0.7584 0.7584
P 0.5000 0.5000 0.5000



5.
Entry from Alexandria: ZnReP3 after structural relaxation (PBE-GGA).

Summary:
- space group = Pm-3m (221)
- total moment (μB per atom) = 0.445
- ΔH_f (0 K) (eV/atom) = 1.621

a b c (Å): 4.4742 4.4742 4.4742
angles (deg): 90.00 90.00 90.00
Sites, in units of the cell vectors:
Zn 0.0000 0.0000 0.0000
Re 0.5000 0.5000 0.5000
P 0.0000 0.0000 0.5000
P 0.0000 0.5000 0.0000
P 0.5000 0.0000 0.0000



6.
Entry from Alexandria: ZnRe2P after structural relaxation (PBE-GGA).

Summary:
- space group = P4mm (99)
- total moment (μB per atom) = 0.000
- ΔH_f (0 K) (eV/atom) = 0.037

a b c (Å): 3.0042 3.0042 6.2379
angles (deg): 90.00 90.00 90.00
Sites, in units of the cell vectors:
Zn 0.0000 0.0000 0.0000
Re 0.0000 0.0000 0.4578
Re 0.5000 0.5000 0.7385
P 0.5000 0.5000 0.2552



7.
Entry from Alexandria: ZnReP after structural relaxation (PBE-GGA).

Summary:
- space group = P3m1 (156)
- total moment (μB per atom) = 0.000
- ΔH_f (0 K) (eV/atom) = -0.002

a b c (Å): 2.9386 2.9386 6.0947
angles (deg): 90.00 90.00 120.00
Sites, in units of the cell vectors:
Zn 0.0000 0.0000 0.0000
Re 0.3333 0.6667 0.6436
P 0.6667 0.3333 0.3718



8.
Entry from Alexandria: ZnRe2P after structural relaxation (PBE-GGA).

Summary:
- space group = Cmmm (65)
- total moment (μB per atom) = 0.000
- ΔH_f (0 K) (eV/atom) = 0.310

a b c (Å): 2.8319 2.8319 8.1721
angles (deg): 90.00 90.00 117.21
Sites, in units of the cell vectors:
Zn 0.0000 0.0000 0.0000
Re 0.5000 0.5000 0.2761
Re 0.5000 0.5000 0.7239
P 0.0000 0.0000 0.5000



What is the total moment in the second record?
0.000 μB per atom



Among the records above, which one has the highest ΔH_f (0 K)?
ZnReP3